[1]
# TcGeRh3

A PBEsol-optimized structure of TcGeRh3 (meta-GGA SCAN, the Alexandria database).

As for the space group: No. 221. The value obtained for the formation energy is 1247 meV/atom. As for the mass density: 8.29 Mg/m³.

Unit cell a=4.579 b=4.579 c=4.579 alpha=90.00 beta=90.00 gamma=90.00
Atoms (fractional coordinates):
Ge 0.500 0.500 0.500
Tc 0.000 0.000 0.000
Rh 0.000 0.500 0.000
Rh 0.000 0.000 0.500
Rh 0.500 0.000 0.000



[2]
# TcGe2Rh

A PBEsol-optimized structure of TcGe2Rh (meta-GGA SCAN, the Alexandria database).

As for the space group: No. 225. The value obtained for the formation energy is -312 meV/atom. As for the mass density: 10.45 Mg/m³.

Unit cell a=4.268 b=4.268 c=4.268 alpha=60.00 beta=60.00 gamma=60.00
Atoms (fractional coordinates):
Rh 0.500 0.500 0.500
Ge 0.250 0.250 0.250
Ge 0.750 0.750 0.750
Tc 0.000 0.000 0.000



[3]
# Ti2Ge2Rh

A PBEsol-optimized structure of Ti2Ge2Rh (meta-GGA SCAN, the Alexandria database).

As for the space group: No. 127. The value obtained for the formation energy is -802 meV/atom. As for the mass density: 7.53 Mg/m³.

Unit cell a=3.858 b=6.269 c=6.269 alpha=90.00 beta=90.00 gamma=90.00
Atoms (fractional coordinates):
Ti 0.500 0.337 0.163
Ti 0.500 0.663 0.837
Ti 0.500 0.163 0.663
Ti 0.500 0.837 0.337
Ge 0.000 0.859 0.641
Ge 0.000 0.359 0.859
Ge 0.000 0.141 0.359
Ge 0.000 0.641 0.141
Rh 0.000 0.000 0.000
Rh 0.000 0.500 0.500